This record from Alexandria describes a geometry-optimized CeDy3Ho7 structure. The functional is PBE.

a = 6.9927 Å, b = 6.9927 Å, c = 8.5572 Å
α = 90.00°, β = 90.00°, γ = 120.00°
Positions (direct):
Ce (0.0000, 0.0000, 0.0000)
Dy (0.1654, 0.3308, 0.6663)
Dy (0.1654, 0.8346, 0.6663)
Dy (0.6692, 0.8346, 0.6663)
Ho (0.0012, 0.5006, 0.9992)
Ho (0.3290, 0.1645, 0.3289)
Ho (0.3333, 0.6667, 0.3308)
Ho (0.4994, 0.5006, 0.9992)
Ho (0.4994, 0.9988, 0.9992)
Ho (0.8355, 0.1645, 0.3289)
Ho (0.8355, 0.6710, 0.3289)

Energy of formation   2.3 eV/f.u.
Fermi-level density of states   19.75 states/eV/f.u.